A plane-wave DFT calculation with PBE was carried out for crystalline Pm5Ag4Pt at its relaxed geometry.

## Properties
symmetry = P4/mmm, No. 123
energy relative to the elements = -436 meV per atom

a = 3.676 Å, b = 3.676 Å, c = 18.771 Å
α = 90.00°, β = 90.00°, γ = 90.00°
Atoms (fractional coordinates):
Pm: 0.000 0.000 0.000
Pm: 0.000 0.000 0.204
Pm: 0.000 0.000 0.409
Pm: 0.000 0.000 0.591
Pm: 0.000 0.000 0.796
Ag: 0.500 0.500 0.102
Ag: 0.500 0.500 0.304
Ag: 0.500 0.500 0.696
Ag: 0.500 0.500 0.898
Pt: 0.500 0.500 0.500

=====

A plane-wave DFT calculation with PBE was carried out for crystalline CoRh3W at its relaxed geometry.

## Properties
symmetry = Pm-3m, No. 221
energy relative to the lowest polymorph listed for this composition = 0.135 eV per atom
energy relative to the elements = 1467 meV per atom

a = 4.669 Å, b = 4.669 Å, c = 4.669 Å
α = 90.00°, β = 90.00°, γ = 90.00°
Atoms (fractional coordinates):
Co: 0.000 0.000 0.000
Rh: 0.000 0.500 0.500
Rh: 0.500 0.000 0.500
Rh: 0.500 0.500 0.000
W: 0.500 0.500 0.500

=====

A plane-wave DFT calculation with PBE was carried out for crystalline TeS2F at its relaxed geometry.

## Properties
symmetry = I-42d, No. 122
ΔE_f (raw) = 0.116 eV per atom
energy relative to the lowest polymorph listed for this composition = 0.431 eV per atom

a = 6.033 Å, b = 6.033 Å, c = 6.033 Å
α = 111.09°, β = 111.09°, γ = 106.28°
Atoms (fractional coordinates):
Te: 0.000 0.000 0.000
Te: 0.750 0.250 0.500
S: 0.118 0.125 0.493
S: 0.375 0.882 0.007
S: 0.632 0.625 0.507
S: 0.875 0.368 0.993
F: 0.250 0.750 0.500
F: 0.500 0.500 0.000